VASP calculation (GGA-PBE) on crystalline Er2Zn15Ru2 at its relaxed geometry.

abc: 6.7355 6.7355 6.7355
angles: 83.27 83.27 83.27
Last column: nearest neighbours and their distance in Å.
Positions (direct):
Er: 0.1701 0.1701 0.1701  1 Ru 2.96, 12 Zn 3.21-3.24
Er: 0.8299 0.8299 0.8299  1 Ru 2.96, 12 Zn 3.21-3.24
Zn: 0.0000 0.5000 0.5000  8 Zn 2.54-2.60, 2 Ru 2.72
Zn: 0.1479 0.1479 0.6504  8 Zn 2.60-2.74, 1 Ru 2.81
Zn: 0.1479 0.6504 0.1479  8 Zn 2.60-2.74, 1 Ru 2.81
Zn: 0.2130 0.5000 0.7870  8 Zn 2.54-2.74
Zn: 0.2130 0.7870 0.5000  8 Zn 2.54-2.74
Zn: 0.3496 0.8521 0.8521  8 Zn 2.60-2.74, 1 Ru 2.81
Zn: 0.5000 0.0000 0.5000  8 Zn 2.54-2.60, 2 Ru 2.72
Zn: 0.5000 0.2130 0.7870  8 Zn 2.54-2.74
Zn: 0.5000 0.5000 0.0000  8 Zn 2.54-2.60, 2 Ru 2.72
Zn: 0.5000 0.7870 0.2130  8 Zn 2.54-2.74
Zn: 0.6504 0.1479 0.1479  8 Zn 2.60-2.74, 1 Ru 2.81
Zn: 0.7870 0.2130 0.5000  8 Zn 2.54-2.74
Zn: 0.7870 0.5000 0.2130  8 Zn 2.54-2.74
Zn: 0.8521 0.3496 0.8521  8 Zn 2.60-2.74, 1 Ru 2.81
Zn: 0.8521 0.8521 0.3496  8 Zn 2.60-2.74, 1 Ru 2.81
Ru: 0.3983 0.3983 0.3983  1 Ru 2.64, 12 Zn 2.72-2.89
Ru: 0.6017 0.6017 0.6017  1 Ru 2.64, 12 Zn 2.72-2.89

Formation energy (eV per atom): -0.20
Symmetry: No. 166